A plane-wave DFT calculation with GGA-PBE was carried out for crystalline AuSe2Cl at its relaxed geometry.

Summary:
As for the raw formation energy: 0.003 eV/atom. The value obtained for the density of states at the Fermi level is 0.473 states/eV per atom.

a = 8.011 Å, b = 8.011 Å, c = 8.011 Å
α = 29.11°, β = 29.11°, γ = 29.11°
Atoms (fractional coordinates):
Au 0.000 0.000 0.000
Se 0.390 0.390 0.390
Se 0.610 0.610 0.610
Cl 0.500 0.500 0.500



A plane-wave DFT calculation with GGA-PBE was carried out for crystalline AuSe2Cl at its relaxed geometry.

Summary:
As for the raw formation energy: 0.551 eV/atom. The value obtained for the density of states at the Fermi level is 0.899 states/eV per atom.

a = 5.222 Å, b = 5.222 Å, c = 2.952 Å
α = 90.00°, β = 90.00°, γ = 90.08°
Atoms (fractional coordinates):
Au 0.000 0.000 0.000
Se 0.000 0.500 0.500
Se 0.500 0.000 0.500
Cl 0.500 0.500 0.000



A plane-wave DFT calculation with GGA-PBE was carried out for crystalline AuSe2Cl at its relaxed geometry.

Summary:
As for the raw formation energy: 0.115 eV/atom. The value obtained for the density of states at the Fermi level is 0.507 states/eV per atom.

a = 3.658 Å, b = 3.658 Å, c = 8.071 Å
α = 90.00°, β = 90.00°, γ = 90.00°
Atoms (fractional coordinates):
Au 0.000 0.000 0.000
Se 0.000 0.000 0.689
Se 0.500 0.500 0.605
Cl 0.500 0.500 0.122



A plane-wave DFT calculation with GGA-PBE was carried out for crystalline AuSeCl2 at its relaxed geometry.

Summary:
As for the raw formation energy: -0.061 eV/atom. As for the energy above the most stable polymorph in this dataset: 8.3 kJ per mole of atoms. The value obtained for the density of states at the Fermi level is 0.265 states/eV per atom.

a = 5.235 Å, b = 3.557 Å, c = 6.659 Å
α = 90.00°, β = 96.40°, γ = 90.00°
Atoms (fractional coordinates):
Au 0.000 0.000 0.000
Se 0.862 0.500 0.225
Cl 0.151 0.500 0.787
Cl 0.524 0.000 0.355



A plane-wave DFT calculation with GGA-PBE was carried out for crystalline AuSeCl4 at its relaxed geometry.

Summary:
As for the raw formation energy: -0.183 eV/atom. As for the energy above the most stable polymorph in this dataset: 0.0 kJ per mole of atoms. The value obtained for the density of states at the Fermi level is 0.527 states/eV per atom.

a = 5.207 Å, b = 5.207 Å, c = 7.295 Å
α = 107.53°, β = 107.53°, γ = 87.44°
Atoms (fractional coordinates):
Au 0.000 0.000 0.000
Se 0.260 0.740 0.500
Cl 0.109 0.607 0.748
Cl 0.393 0.891 0.252
Cl 0.570 0.083 0.772
Cl 0.917 0.430 0.228



A plane-wave DFT calculation with GGA-PBE was carried out for crystalline AuSe2Cl at its relaxed geometry.

Summary:
As for the raw formation energy: 0.158 eV/atom. The value obtained for the density of states at the Fermi level is 0.922 states/eV per atom.

a = 6.631 Å, b = 6.631 Å, c = 6.631 Å
α = 97.98°, β = 97.98°, γ = 136.24°
Atoms (fractional coordinates):
Au 0.000 0.000 0.000
Au 0.750 0.250 0.500
Se 0.064 0.125 0.439
Se 0.375 0.936 0.061
Se 0.686 0.625 0.561
Se 0.875 0.314 0.939
Cl 0.250 0.750 0.500
Cl 0.500 0.500 0.000



A plane-wave DFT calculation with GGA-PBE was carried out for crystalline AuSe2Cl at its relaxed geometry.

Summary:
As for the raw formation energy: -0.117 eV/atom. The value obtained for the density of states at the Fermi level is 0.084 states/eV per atom.

a = 4.460 Å, b = 3.839 Å, c = 6.093 Å
α = 90.00°, β = 110.10°, γ = 90.00°
Atoms (fractional coordinates):
Au 0.000 0.000 0.000
Se 0.248 0.500 0.843
Se 0.752 0.500 0.157
Cl 0.500 0.000 0.500



A plane-wave DFT calculation with GGA-PBE was carried out for crystalline AuSeCl2 at its relaxed geometry.

Summary:
As for the raw formation energy: 0.021 eV/atom. As for the energy above the most stable polymorph in this dataset: 16.3 kJ per mole of atoms. The value obtained for the density of states at the Fermi level is 1.288 states/eV per atom.

a = 8.176 Å, b = 8.176 Å, c = 8.176 Å
α = 27.08°, β = 27.08°, γ = 27.08°
Atoms (fractional coordinates):
Au 0.000 0.000 0.000
Se 0.727 0.727 0.727
Cl 0.270 0.270 0.270
Cl 0.469 0.469 0.469



A plane-wave DFT calculation with GGA-PBE was carried out for crystalline AuSe2Cl at its relaxed geometry.

Summary:
As for the raw formation energy: 0.197 eV/atom. The value obtained for the density of states at the Fermi level is 0.694 states/eV per atom.

a = 3.726 Å, b = 3.726 Å, c = 7.910 Å
α = 90.00°, β = 90.00°, γ = 90.00°
Atoms (fractional coordinates):
Au 0.000 0.000 0.000
Se 0.000 0.500 0.500
Se 0.500 0.000 0.500
Cl 0.500 0.500 0.000



A plane-wave DFT calculation with GGA-PBE was carried out for crystalline AuSe2Cl at its relaxed geometry.

Summary:
As for the raw formation energy: -0.133 eV/atom.

a = 7.360 Å, b = 7.360 Å, c = 4.987 Å
α = 90.00°, β = 90.00°, γ = 107.37°
Atoms (fractional coordinates):
Au 0.203 0.203 0.000
Au 0.797 0.797 0.500
Se 0.264 0.487 0.303
Se 0.487 0.264 0.697
Se 0.513 0.736 0.197
Se 0.736 0.513 0.803
Cl 0.111 0.889 0.750
Cl 0.889 0.111 0.250



A plane-wave DFT calculation with GGA-PBE was carried out for crystalline Au2Se2Cl at its relaxed geometry.

Summary:
As for the raw formation energy: 0.001 eV/atom. As for the energy above the most stable polymorph in this dataset: 0.0 kJ per mole of atoms. The value obtained for the density of states at the Fermi level is 0.413 states/eV per atom.

a = 4.110 Å, b = 6.229 Å, c = 10.660 Å
α = 104.72°, β = 90.07°, γ = 109.19°
Atoms (fractional coordinates):
Au 0.006 0.009 0.320
Au 0.367 0.736 0.943
Au 0.633 0.264 0.057
Au 0.994 0.991 0.680
Se 0.178 0.355 0.202
Se 0.402 0.802 0.185
Se 0.598 0.198 0.815
Se 0.822 0.645 0.798
Cl 0.148 0.296 0.542
Cl 0.852 0.704 0.458



A plane-wave DFT calculation with GGA-PBE was carried out for crystalline Au2Se2Cl at its relaxed geometry.

Summary:
As for the raw formation energy: 0.288 eV/atom. As for the energy above the most stable polymorph in this dataset: 27.7 kJ per mole of atoms. The value obtained for the density of states at the Fermi level is 1.021 states/eV per atom.

a = 8.657 Å, b = 8.657 Å, c = 2.811 Å
α = 90.00°, β = 90.00°, γ = 90.00°
Atoms (fractional coordinates):
Au 0.164 0.336 0.000
Au 0.336 0.836 0.000
Au 0.664 0.164 0.000
Au 0.836 0.664 0.000
Se 0.140 0.640 0.500
Se 0.360 0.140 0.500
Se 0.640 0.860 0.500
Se 0.860 0.360 0.500
Cl 0.000 0.000 0.000
Cl 0.500 0.500 0.000



Number 1: E -3.021 eV/atom. Number 2: E -2.473 eV/atom. Number 3: E -2.908 eV/atom. Number 4: E -2.675 eV/atom. Number 5: E -2.541 eV/atom. Number 6: E -2.865 eV/atom. Number 7: E -3.141 eV/atom. Number 8: E -2.593 eV/atom. Number 9: E -2.826 eV/atom. Number 10: E -3.156 eV/atom. Number 11: E -3.073 eV/atom. Number 12: E -2.786 eV/atom.